The following is a PBE calculation of a geometry-optimized CeNd4Tm3 structure, from the Alexandria database.

Computed properties:
magnetization: 1.01 μB/f.u.
energy of formation from the pure elements: 0.20 eV/atom

Unit cell a=3.428 b=6.832 c=11.986 alpha=73.21 beta=98.22 gamma=90.00
Last column: magnetic moment on the atom in μB.
Sites, in units of the cell vectors:
Tm1 0.000 0.500 0.000  0.06
Tm2 0.122 0.636 0.245  0.03
Tm3 0.878 0.364 0.755  0.03
Nd1 0.741 0.752 0.482  -0.01
Nd2 0.259 0.248 0.518  -0.01
Nd3 0.122 0.122 0.244  0.00
Nd4 0.878 0.878 0.756  0.00
Ce1 0.500 0.000 0.000  0.71